Material: ErHfSnC
Method: DFT, GGA-PBE
State: optimized geometry Values from VASP.

```
&SYSTEM
  ibrav = 0, nat = 8, ntyp = 4
/
ATOMIC_SPECIES
C 12.01 C.upf
Er 167.26 Er.upf
Hf 178.49 Hf.upf
Sn 118.71 Sn.upf
CELL_PARAMETERS angstrom
-0.487 -2.479 2.349
2.897 1.872 0.043
-6.599 10.004 9.189
ATOMIC_POSITIONS angstrom
C 0.000 0.000 0.000
C -3.300 5.002 4.594
Er -0.947 4.539 4.594
Er -3.242 4.858 6.987
Hf 1.246 1.215 1.540
Hf -5.435 8.183 10.040
Sn -0.923 1.343 3.758
Sn -3.266 8.055 7.822
```

Computed properties:
**ΔE to the lowest computed polymorph**: 44 meV per atom
**Total energy**: -7.5895 eV per atom
**Calculated volume**: 155.6 Å³ per cell